[1]
Material: SrLaAs2O
Method: DFT, PBE-GGA
State: optimized geometry

Structure (POSCAR):
```
SrLaAs2O
1.0
5.368 0.000 0.000
0.000 4.367 0.000
0.000 0.000 5.368
Sr As O La
1 2 1 1
direct
0.500 0.500 0.500
0.000 0.000 0.500
0.500 0.000 0.000
0.000 0.000 0.000
0.000 0.500 0.000
```

- space-group type = P4/mmm
- uncorrected formation energy (eV/atom) = -1.08
- final energy (hartree per atom) = -0.193

***

[2]
Material: LaTbAsO2
Method: DFT, PBE-GGA
State: optimized geometry

Structure (POSCAR):
```
LaTbAsO2
1.0
-1.740 1.295 -5.074
1.758 -4.901 -1.854
-6.794 -0.184 2.283
La Tb As O
2 2 2 4
direct
0.250 0.598 0.196
0.750 0.402 0.804
0.250 0.915 0.831
0.750 0.085 0.169
0.750 0.750 0.499
0.250 0.250 0.501
0.500 0.245 0.000
0.000 0.755 0.000
0.500 0.755 0.000
0.000 0.245 0.000
```

- space-group type = Cmcm
- uncorrected formation energy (eV/atom) = -2.68
- final energy (hartree per atom) = -0.276

***

[3]
Material: LaThAs2O8
Method: DFT, PBE-GGA
State: optimized geometry

Structure (POSCAR):
```
LaThAs2O8
1.0
-5.512 -2.732 -0.995
3.894 -3.193 3.673
-1.163 5.406 2.876
La Th As O
1 1 2 8
direct
0.250 0.750 0.500
0.000 0.000 0.000
0.750 0.250 0.500
0.500 0.500 0.000
0.378 0.067 0.311
0.329 0.504 0.174
0.329 0.155 0.826
0.756 0.067 0.689
0.845 0.671 0.174
0.933 0.244 0.311
0.933 0.622 0.689
0.496 0.671 0.826
```

- space-group type = I-4m2
- uncorrected formation energy (eV/atom) = -2.35
- final energy (hartree per atom) = -0.274

***

[4]
Material: LaTlAs2O6
Method: DFT, PBE-GGA
State: optimized geometry

Structure (POSCAR):
```
LaTlAs2O6
1.0
-7.311 0.436 -0.452
-0.856 -5.744 4.485
1.942 5.332 4.135
La Tl As O
2 2 4 12
direct
0.609 0.391 0.250
0.391 0.609 0.750
0.201 0.799 0.250
0.799 0.201 0.750
0.265 0.132 0.768
0.868 0.735 0.732
0.735 0.868 0.232
0.132 0.265 0.268
0.918 0.377 0.214
0.623 0.082 0.286
0.082 0.623 0.786
0.377 0.918 0.714
0.177 0.145 0.014
0.855 0.823 0.486
0.823 0.855 0.986
0.145 0.177 0.514
0.312 0.450 0.375
0.550 0.688 0.125
0.688 0.550 0.625
0.450 0.312 0.875
```

- space-group type = C2/c
- uncorrected formation energy (eV/atom) = -1.68
- final energy (hartree per atom) = -0.232

***

[5]
Material: La2TlAsO5
Method: DFT, PBE-GGA
State: optimized geometry

Structure (POSCAR):
```
La2TlAsO5
1.0
6.071 0.000 0.000
0.000 7.020 0.000
0.000 0.000 7.020
La Tl As O
4 2 2 10
direct
0.500 0.679 0.179
0.500 0.179 0.321
0.500 0.821 0.679
0.500 0.321 0.821
0.000 0.500 0.500
0.000 0.000 0.000
0.000 0.000 0.500
0.000 0.500 0.000
0.500 0.500 0.500
0.500 0.000 0.000
0.253 0.134 0.634
0.253 0.866 0.366
0.253 0.366 0.134
0.253 0.634 0.866
0.747 0.134 0.634
0.747 0.634 0.866
0.747 0.866 0.366
0.747 0.366 0.134
```

- space-group type = P4/mbm
- uncorrected formation energy (eV/atom) = -2.12
- final energy (hartree per atom) = -0.248

***

[6]
Material: LaTl2As2O6
Method: DFT, PBE-GGA
State: optimized geometry

Structure (POSCAR):
```
LaTl2As2O6
1.0
6.269 0.000 0.000
-3.134 5.089 -0.303
0.000 -3.183 6.964
La Tl As O
1 2 2 6
direct
0.500 0.000 0.500
0.714 0.427 0.195
0.286 0.573 0.805
0.945 0.891 0.776
0.055 0.109 0.224
0.761 0.522 0.581
0.181 0.924 0.264
0.258 0.076 0.736
0.819 0.076 0.736
0.742 0.924 0.264
0.239 0.478 0.419
```

- space-group type = C2/m
- uncorrected formation energy (eV/atom) = -1.60
- final energy (hartree per atom) = -0.221

***

[7]
Material: LaTl2AsO
Method: DFT, PBE-GGA
State: optimized geometry

Structure (POSCAR):
```
LaTl2AsO
1.0
5.159 0.000 0.000
0.000 4.457 0.000
0.000 0.000 5.159
Tl As O La
2 1 1 1
direct
0.000 0.000 0.500
0.500 0.000 0.000
0.000 0.500 0.000
0.000 0.000 0.000
0.500 0.500 0.500
```

- space-group type = P4/mmm
- uncorrected formation energy (eV/atom) = -0.38
- final energy (hartree per atom) = -0.155

***

[8]
Material: LaTlAsO2
Method: DFT, PBE-GGA
State: optimized geometry

Structure (POSCAR):
```
LaTlAsO2
1.0
4.209 0.000 0.000
0.000 8.159 0.000
0.000 0.000 4.209
Tl As O La
1 1 2 1
direct
0.000 0.000 0.000
0.500 0.500 0.500
0.000 0.000 0.500
0.500 0.000 0.000
0.000 0.500 0.000
```

- space-group type = P4/mmm
- uncorrected formation energy (eV/atom) = -0.17
- final energy (hartree per atom) = -0.167

***

[9]
Material: LaTmAs2O8
Method: DFT, PBE-GGA
State: optimized geometry

Structure (POSCAR):
```
LaTmAs2O8
1.0
-0.239 3.460 -3.763
-5.095 0.142 0.454
3.132 2.467 5.549
La Tm As O
1 1 2 8
direct
0.750 0.250 0.500
0.000 0.000 0.000
0.500 0.500 0.000
0.250 0.750 0.500
0.728 0.824 0.148
0.420 0.324 0.148
0.582 0.698 0.662
0.080 0.964 0.662
0.036 0.418 0.338
0.302 0.920 0.338
0.176 0.580 0.852
0.676 0.272 0.852
```

- space-group type = I-4
- uncorrected formation energy (eV/atom) = -2.34
- final energy (hartree per atom) = -0.265

***

[10]
Material: LaTmAsO2
Method: DFT, PBE-GGA
State: optimized geometry

Structure (POSCAR):
```
LaTmAsO2
1.0
5.463 0.000 0.000
0.000 5.484 0.000
0.000 -2.742 6.558
La Tm As O
2 2 2 4
direct
0.250 0.600 0.200
0.750 0.400 0.800
0.250 0.919 0.839
0.750 0.081 0.161
0.750 0.750 0.499
0.250 0.250 0.501
0.500 0.242 0.000
0.000 0.758 0.000
0.500 0.758 0.000
0.000 0.242 0.000
```

- space-group type = Cmcm
- uncorrected formation energy (eV/atom) = -2.70
- final energy (hartree per atom) = -0.275